Entry 1:
Compound: InAuSe2N
Source: the Alexandria database
Functional: PBE
Structure: optimized geometry

Cell and atoms, written as CIF:
```
data_InAuSe2N
_chemical_formula_sum 'In1 Au1 Se2 N1'
_symmetry_space_group_name_H-M 'P 4/m m m'
_symmetry_Int_Tables_number 123
_symmetry_space_group_name_Hall '-P 4 2'
_cell_length_a 5.398
_cell_length_b 5.398
_cell_length_c 3.812
_cell_angle_alpha 90.00
_cell_angle_beta 90.00
_cell_angle_gamma 90.00
loop_
_atom_site_label
_atom_site_type_symbol
_atom_site_fract_x
_atom_site_fract_y
_atom_site_fract_z
In1 In 0.000 0.000 0.000
Au1 Au 0.500 0.500 0.500
Se1 Se 0.000 0.500 0.500
N1 N 0.500 0.500 0.000
```

Summary:
**Polymorph energy (0 for the lowest one)**: 0.0 kJ per mole of atoms
**Crystal system**: tetragonal
**Formation energy (no corrections)**: 0.78 eV/atom
**Magnetic moment**: 0.000 μB/atom


Entry 2:
Compound: Th3Tc2Hg
Source: the Alexandria database
Functional: PBE
Structure: optimized geometry

Cell and atoms, written as CIF:
```
data_Th3Tc2Hg
_chemical_formula_sum 'Th6 Tc4 Hg2'
_symmetry_space_group_name_H-M 'P m c 21'
_symmetry_Int_Tables_number 26
_symmetry_space_group_name_Hall 'P 2c -2'
_cell_length_a 4.268
_cell_length_b 9.490
_cell_length_c 7.574
_cell_angle_alpha 90.00
_cell_angle_beta 90.00
_cell_angle_gamma 90.00
loop_
_atom_site_label
_atom_site_type_symbol
_atom_site_fract_x
_atom_site_fract_y
_atom_site_fract_z
Th1 Th 0.000 0.056 0.000
Th2 Th 0.500 0.234 0.366
Th3 Th 0.500 0.353 0.817
Tc1 Tc 0.000 0.269 0.605
Tc2 Tc 0.500 0.053 0.733
Hg1 Hg 0.000 0.424 0.126
```

Summary:
**Polymorph energy (0 for the lowest one)**: 0.0 kJ per mole of atoms
**Formation energy from the elements**: -0.146 eV/atom
**Crystal system**: orthorhombic
**Magnetic moment**: 0.000 μB/atom


Entry 3:
Compound: Tm3Si
Source: the Alexandria database
Functional: PBE
Structure: optimized geometry

Cell and atoms, written as CIF:
```
data_Tm3Si
_chemical_formula_sum 'Tm6 Si2'
_symmetry_space_group_name_H-M 'I m m m'
_symmetry_Int_Tables_number 71
_symmetry_space_group_name_Hall '-I 2 2'
_cell_length_a 3.788
_cell_length_b 4.946
_cell_length_c 10.784
_cell_angle_alpha 90.00
_cell_angle_beta 90.00
_cell_angle_gamma 90.00
loop_
_atom_site_label
_atom_site_type_symbol
_atom_site_fract_x
_atom_site_fract_y
_atom_site_fract_z
Tm1 Tm 0.000 0.000 0.000
Tm2 Tm 0.000 0.500 0.207
Si1 Si 0.000 0.000 0.500
```

Summary:
**Crystal system**: orthorhombic
**Formation energy (no corrections)**: -0.31 eV/atom
**Magnetic moment**: 0.000 μB/atom


Question: Number 2 is which compound?
Answer: Th3Tc2Hg


Question: What is the formula in the second record?
Answer: Th3Tc2Hg


Question: Look up the magnetic moment of the third one.
Answer: 0.000 μB/atom